Entry from the Alexandria database: a relaxed structure of MnAlP2O (PBE+U).

Output
Total magnetic moment, μB/cell: 4.38
Symmetry: P4/mmm, No. 123
Total DFT energy (no corrections), eV per atom: -5.63
Fermi-level density of states, states/eV per cell: 2.92
ρ, g/cm3: 3.12

```
MnAlP2O
1.0
-3.626 -2.530 -2.444
3.513 -2.796 -2.316
-0.127 -2.216 2.482
P Mn Al O
2 1 1 1
Cartesian
1.756 -1.398 -1.158 P
-1.813 -1.265 -1.222 P
-0.120 -3.771 -1.139 Mn
0.000 0.000 0.000 Al
-0.064 -1.108 1.241 O
```